Crystalline CsCaNi2 at its relaxed geometry. Source: Alexandria, functional PBE.

The structure in extended XYZ format:
```
4
Lattice="0.000 3.699 3.699 3.699 0.000 3.699 3.699 3.699 0.000" Properties=species:S:1:pos:R:3 pbc="T T T"
Ca 0.000 0.000 0.000
Cs 3.699 3.699 3.699
Ni 5.548 5.548 5.548
Ni 1.849 1.849 1.849
```

Summary:
Energy = -2.793 eV per atom
Energy relative to the elements = 0.8117 eV per atom
Space group = Fm-3m